Compound: TmN
Source: OQMD via LeMat-Bulk
Functional: PBE
Structure: optimized geometry

Its final energy is -7.737 eV/atom. The value obtained for the volume is 13.9 Å³/atom.

It has space group P-6m2 (No. 187), with a = 3.2752 Å, b = 3.2752 Å, c = 2.9855 Å, α = 90.00°, β = 90.00° and γ = 120.00°. The inequivalent atoms are Tm at (0.0000, 0.0000, 0.0000) and N at (0.3333, 0.6667, 0.5000).


Compound: TmN
Source: OQMD via LeMat-Bulk
Functional: PBE
Structure: optimized geometry

Its final energy is -8.227 eV/atom. The value obtained for the volume is 13.8 Å³/atom.

It has space group Fm-3m (No. 225), with a = 4.792 Å, b = 4.792 Å, c = 4.792 Å, α = 90.00°, β = 90.00° and γ = 90.00°. The inequivalent atoms are Tm at (0.000, 0.000, 0.000) and N at (0.000, 0.000, 0.500).


Compound: Tm2N3
Source: OQMD via LeMat-Bulk
Functional: PBE
Structure: optimized geometry

Its final energy is -7.339 eV/atom. The value obtained for the volume is 15.2 Å³/atom.

It has space group Ia-3 (No. 206), with a = 10.678 Å, b = 10.678 Å, c = 10.678 Å, α = 90.00°, β = 90.00° and γ = 90.00°. The inequivalent atoms are Tm at (0.000, 0.250, 0.471), Tm at (0.250, 0.250, 0.250) and N at (0.111, 0.149, 0.621).


Compound: TmN
Source: OQMD via LeMat-Bulk
Functional: PBE
Structure: optimized geometry

Its final energy is -7.520 eV/atom. The value obtained for the volume is 16.1 Å³/atom.

It has space group Pmma (No. 51), with a = 6.229 Å, b = 3.439 Å, c = 6.009 Å, α = 90.00°, β = 90.00° and γ = 90.00°. The inequivalent atoms are Tm at (0.000, 0.000, 0.000), Tm at (0.250, 0.500, 0.493), N at (0.250, 0.000, 0.704) and N at (0.250, 0.500, 0.129).


Compound: Tm5N
Source: OQMD via LeMat-Bulk
Functional: PBE
Structure: optimized geometry

Its final energy is -3.725 eV/atom. The value obtained for the volume is 31.7 Å³/atom.

It has space group P6/mmm (No. 191), with a = 6.1014 Å, b = 6.1014 Å, c = 5.8945 Å, α = 90.00°, β = 90.00° and γ = 120.00°. The inequivalent atoms are Tm at (0.0000, 0.5000, 0.0000), Tm at (0.3333, 0.6667, 0.5000) and N at (0.0000, 0.0000, 0.5000).


Compound: Y2TmN3
Source: OQMD via LeMat-Bulk
Functional: PBE
Structure: optimized geometry

Its final energy is -8.797 eV/atom. The value obtained for the volume is 14.4 Å³/atom.

It has space group P-3m1 (No. 164), with a = 3.4408 Å, b = 3.4408 Å, c = 8.4241 Å, α = 90.00°, β = 90.00° and γ = 120.00°. The inequivalent atoms are Y at (0.3333, 0.6667, 0.3317), Tm at (0.0000, 0.0000, 0.0000), N at (0.0000, 0.0000, 0.5000) and N at (0.3333, 0.6667, 0.8378).


Compound: YTmN4
Source: OQMD via LeMat-Bulk
Functional: PBE
Structure: optimized geometry

Its final energy is -7.997 eV/atom. The value obtained for the volume is 12.8 Å³/atom.

It has space group Cm (No. 8), with a = 7.422 Å, b = 4.337 Å, c = 4.775 Å, α = 90.00°, β = 90.39° and γ = 90.00°. The inequivalent atoms are Y at (0.000, 0.000, 0.000), Tm at (0.335, 0.000, 0.486), N at (0.003, 0.000, 0.476), N at (0.166, 0.500, 0.853), N at (0.170, 0.500, 0.609) and N at (0.333, 0.000, 0.012).


Compound: TmZr2N3
Source: OQMD via LeMat-Bulk
Functional: PBE
Structure: optimized geometry

Its final energy is -9.512 eV/atom. The value obtained for the volume is 12.6 Å³/atom.

It has space group P-3m1 (No. 164), with a = 3.2870 Å, b = 3.2870 Å, c = 8.0734 Å, α = 90.00°, β = 90.00° and γ = 120.00°. The inequivalent atoms are Tm at (0.0000, 0.0000, 0.0000), Zr at (0.3333, 0.6667, 0.3386), N at (0.0000, 0.0000, 0.5000) and N at (0.3333, 0.6667, 0.8260).


Compound: UN
Source: OQMD via LeMat-Bulk
Functional: PBE
Structure: optimized geometry

Its final energy is -10.654 eV/atom. The value obtained for the volume is 14.4 Å³/atom.

It has space group P-6m2 (No. 187), with a = 3.2546 Å, b = 3.2546 Å, c = 3.1397 Å, α = 90.00°, β = 90.00° and γ = 120.00°. The inequivalent atoms are U at (0.0000, 0.0000, 0.0000) and N at (0.3333, 0.6667, 0.5000).


Compound: U2N3
Source: OQMD via LeMat-Bulk
Functional: PBE
Structure: optimized geometry

Its final energy is -10.902 eV/atom. The value obtained for the volume is 15.0 Å³/atom.

It has space group Ia-3 (No. 206), with a = 10.618 Å, b = 10.618 Å, c = 10.618 Å, α = 90.00°, β = 90.00° and γ = 90.00°. The inequivalent atoms are U at (0.000, 0.250, 0.479), U at (0.250, 0.250, 0.250) and N at (0.117, 0.146, 0.620).


Compound: UN
Source: OQMD via LeMat-Bulk
Functional: PBE
Structure: optimized geometry

Its final energy is -10.712 eV/atom. The value obtained for the volume is 18.2 Å³/atom.

It has space group F-43m (No. 216), with a = 5.260 Å, b = 5.260 Å, c = 5.260 Å, α = 90.00°, β = 90.00° and γ = 90.00°. The inequivalent atoms are U at (0.000, 0.000, 0.000) and N at (0.250, 0.250, 0.250).


Compound: UN
Source: OQMD via LeMat-Bulk
Functional: PBE
Structure: optimized geometry

Its final energy is -10.566 eV/atom. The value obtained for the volume is 15.3 Å³/atom.

It has space group Pmma (No. 51), with a = 6.556 Å, b = 4.321 Å, c = 4.333 Å, α = 90.00°, β = 90.00° and γ = 90.00°. The inequivalent atoms are U at (0.000, 0.000, 0.000), U at (0.250, 0.500, 0.500), N at (0.250, 0.000, 0.499) and N at (0.250, 0.500, 0.000).